(1)
The following is a DFT calculation (PBE) of a relaxed Na3SnBi4 crystal.

Lattice parameters (Å, degrees): 6.534 10.861 8.442 90.00 90.00 90.00
Atoms (fractional coordinates):
Na1 0.938 0.630 0.767
Na2 0.708 0.888 0.000
Na3 0.438 0.370 0.267
Na4 0.938 0.630 0.233
Na5 0.208 0.112 0.500
Na6 0.438 0.370 0.733
Sn1 0.158 0.149 0.000
Sn2 0.658 0.851 0.500
Bi1 0.182 0.812 0.500
Bi2 0.438 0.674 0.751
Bi3 0.938 0.326 0.749
Bi4 0.682 0.188 0.000
Bi5 0.438 0.674 0.249
Bi6 0.938 0.326 0.251
Bi7 0.714 0.159 0.500
Bi8 0.214 0.841 0.000

* magnetic moment: 0.00 μB/cell
* space group: No. 31
* ΔE_f: -0.07 eV/atom



(2)
The following is a DFT calculation (PBE) of a relaxed KTbPuCl6 crystal.

Lattice parameters (Å, degrees): 7.174 7.174 13.727 90.00 90.00 120.00
Atoms (fractional coordinates):
Cl1 0.017 0.645 0.862
Cl2 0.628 0.645 0.638
Cl3 0.645 0.017 0.362
Cl4 0.983 0.355 0.138
Cl5 0.372 0.355 0.362
Cl6 0.355 0.372 0.862
Cl7 0.017 0.372 0.638
Cl8 0.628 0.983 0.862
Cl9 0.645 0.628 0.138
Cl10 0.355 0.983 0.638
Cl11 0.983 0.628 0.362
Cl12 0.372 0.017 0.138
K1 0.000 0.000 0.000
K2 0.000 0.000 0.500
Tb1 0.333 0.667 0.750
Tb2 0.667 0.333 0.250
Pu1 0.667 0.333 0.750
Pu2 0.333 0.667 0.250

* magnetic moment: 12.00 μB/cell
* energy relative to the elements, uncorrected: -2059 meV/atom
* space group: No. 163



> What is the formula in the first record?

Na3SnBi4